{
  "formula": "MnAlNi2O5",
  "functional": "GGA+U",
  "state": "relaxed",
  "vol_a3_per_cell": 194.97,
  "total_energy_ev_per_atom": -6.058,
  "magnetic_moment_mub_per_cell": 12.0,
  "sg": "Cmc2_1",
  "lattice_angstrom": [[-0.223, 2.829, 0.470], [-6.557, -2.624, 3.875], [4.574, -0.832, 7.176]],
  "species": ["O", "Ni", "O", "Ni", "Al", "Mn", "O", "O", "Al", "Mn", "Ni", "O", "O", "O", "O", "O", "O", "Ni"],
  "fractional_positions": [[0.484, 0.968, 0.260], [0.931, 0.863, 0.811], [0.929, 0.859, 0.531], [0.050, 0.099, 0.600], [0.288, 0.577, 0.071], [0.618, 0.236, 0.899], [0.383, 0.767, 0.943], [0.516, 0.032, 0.760], [0.712, 0.423, 0.571], [0.382, 0.764, 0.399], [0.950, 0.901, 0.100], [0.834, 0.668, 0.205], [0.071, 0.141, 0.031], [0.166, 0.332, 0.705], [0.274, 0.549, 0.504], [0.617, 0.233, 0.443], [0.726, 0.451, 0.004], [0.069, 0.137, 0.311]]
}